Entry 1:
A geometry-optimized CsSrNiCl6 structure, computed with PBE-GGA.

## Properties
- E_form (uncorrected): -1.45 eV/atom
- Crystal system: triclinic
- Final energy: -3.602 eV per atom
- Mass density: 2.60 g/cm3

The structure in CIF format:
```
data_CsSrNiCl6
_chemical_formula_sum 'Cs1 Sr1 Ni1 Cl6'
_cell_length_a 6.800
_cell_length_b 6.811
_cell_length_c 7.553
_cell_angle_alpha 91.36
_cell_angle_beta 91.51
_cell_angle_gamma 115.80
_symmetry_space_group_name_H-M 'P 1'
_symmetry_Int_Tables_number 1
loop_
_symmetry_equiv_pos_as_xyz
'x,y,z'
loop_
_atom_site_label
_atom_site_fract_x
_atom_site_fract_y
_atom_site_fract_z
Cs1 0.000 0.000 0.000
Sr1 0.325 0.676 0.500
Ni1 0.676 0.324 0.501
Cl1 0.399 0.321 0.332
Cl2 0.419 0.054 0.718
Cl3 0.666 0.044 0.332
Cl4 0.677 0.599 0.671
Cl5 0.944 0.582 0.284
Cl6 0.957 0.334 0.669
```

Entry 2:
A geometry-optimized CsSrNi2Cl8 structure, computed with PBE-GGA.

## Properties
- E_form (uncorrected): -1.20 eV/atom
- Crystal system: trigonal
- Final energy: -3.605 eV per atom
- Mass density: 2.69 g/cm3

The structure in CIF format:
```
data_CsSrNi2Cl8
_chemical_formula_sum 'Cs1 Sr1 Ni2 Cl8'
_cell_length_a 6.6073
_cell_length_b 6.6073
_cell_length_c 10.1438
_cell_angle_alpha 90.00
_cell_angle_beta 90.00
_cell_angle_gamma 120.00
_symmetry_space_group_name_H-M 'P -3'
_symmetry_Int_Tables_number 147
loop_
_symmetry_equiv_pos_as_xyz
'x,y,z'
'-x,-y,-z'
'-y,x-y,z'
'y,-x+y,-z'
'-x+y,-x,z'
'x-y,x,-z'
loop_
_atom_site_label
_atom_site_fract_x
_atom_site_fract_y
_atom_site_fract_z
Cs1 0.0000 0.0000 0.0000
Sr1 0.0000 0.0000 0.5000
Ni1 0.3333 0.6667 0.7443
Cl1 0.0087 0.3469 0.6826
Cl2 0.3333 0.6667 0.9584
```

Entry 3:
A geometry-optimized Cs2TaNiCl6 structure, computed with PBE-GGA.

## Properties
- E_form (uncorrected): -1.19 eV/atom
- Crystal system: tetragonal
- Final energy: -4.229 eV per atom
- Mass density: 4.24 g/cm3

The structure in CIF format:
```
data_Cs2TaNiCl6
_chemical_formula_sum 'Cs4 Ta2 Ni2 Cl12'
_cell_length_a 6.882
_cell_length_b 6.882
_cell_length_c 11.884
_cell_angle_alpha 90.00
_cell_angle_beta 90.00
_cell_angle_gamma 90.00
_symmetry_space_group_name_H-M 'I 4/m m m'
_symmetry_Int_Tables_number 139
_symmetry_space_group_name_Hall '-I 4 2'
loop_
_atom_site_label
_atom_site_fract_x
_atom_site_fract_y
_atom_site_fract_z
Cs1 0.000 0.500 0.250
Ta1 0.000 0.000 0.000
Ni1 0.000 0.000 0.500
Cl1 0.000 0.000 0.209
Cl2 0.245 0.245 0.500
```

Entry 4:
A geometry-optimized CsTiNiCl6 structure, computed with PBE-GGA.

## Properties
- E_form (uncorrected): -1.35 eV/atom
- Crystal system: trigonal
- Final energy: -4.199 eV per atom
- Mass density: 2.72 g/cm3

The structure in CIF format:
```
data_CsTiNiCl6
_chemical_formula_sum 'Cs1 Ti1 Ni1 Cl6'
_cell_length_a 6.3971
_cell_length_b 6.3971
_cell_length_c 7.7872
_cell_angle_alpha 90.00
_cell_angle_beta 90.00
_cell_angle_gamma 120.00
_symmetry_space_group_name_H-M 'P 3 1 2'
_symmetry_Int_Tables_number 149
loop_
_symmetry_equiv_pos_as_xyz
'x,y,z'
'-y,x-y,z'
'-x+y,-x,z'
'-y,-x,-z'
'-x+y,y,-z'
'x,x-y,-z'
loop_
_atom_site_label
_atom_site_fract_x
_atom_site_fract_y
_atom_site_fract_z
Cs1 0.0000 0.0000 0.0000
Ti1 0.6667 0.3333 0.5000
Ni1 0.3333 0.6667 0.5000
Cl1 0.3807 0.0038 0.6766
```

Entry 5:
A geometry-optimized Cs3TlNi2Cl8 structure, computed with PBE-GGA.

## Properties
- E_form (uncorrected): -1.22 eV/atom
- Crystal system: trigonal
- Final energy: -3.453 eV per atom
- Mass density: 3.39 g/cm3

The structure in CIF format:
```
data_Cs3TlNi2Cl8
_chemical_formula_sum 'Cs3 Tl1 Ni2 Cl8'
_cell_length_a 7.5739
_cell_length_b 7.5739
_cell_length_c 9.9082
_cell_angle_alpha 90.00
_cell_angle_beta 90.00
_cell_angle_gamma 120.00
_symmetry_space_group_name_H-M 'P -3 m 1'
_symmetry_Int_Tables_number 164
_symmetry_space_group_name_Hall '-P 3 2"'
loop_
_atom_site_label
_atom_site_fract_x
_atom_site_fract_y
_atom_site_fract_z
Cs1 0.0000 0.0000 0.0000
Cs2 0.3333 0.6667 0.6327
Tl1 0.0000 0.0000 0.5000
Ni1 0.3333 0.6667 0.1968
Cl1 0.1804 0.3608 0.3039
Cl2 0.3333 0.6667 0.9754
```

Entry 6:
A geometry-optimized CsTl2NiCl6 structure, computed with PBE-GGA.

## Properties
- E_form (uncorrected): -0.97 eV/atom
- Crystal system: monoclinic
- Final energy: -3.216 eV per atom
- Mass density: 4.18 g/cm3

The structure in CIF format:
```
data_CsTl2NiCl6
_chemical_formula_sum 'Cs2 Tl4 Ni2 Cl12'
_cell_length_a 7.639
_cell_length_b 7.526
_cell_length_c 13.475
_cell_angle_alpha 90.00
_cell_angle_beta 123.59
_cell_angle_gamma 90.00
_symmetry_space_group_name_H-M 'P 1 21/c 1'
_symmetry_Int_Tables_number 14
loop_
_symmetry_equiv_pos_as_xyz
'x,y,z'
'-x,-y,-z'
'-x,y+1/2,-z+1/2'
'x,-y+1/2,z+1/2'
loop_
_atom_site_label
_atom_site_fract_x
_atom_site_fract_y
_atom_site_fract_z
Cs1 0.000 0.000 0.000
Tl1 0.278 0.085 0.775
Ni1 0.500 0.000 0.500
Cl1 0.161 0.027 0.294
Cl2 0.322 0.622 0.071
Cl3 0.443 0.227 0.046
```

Entry 7:
A geometry-optimized CsUNiCl6 structure, computed with PBE-GGA.

## Properties
- E_form (uncorrected): -1.45 eV/atom
- Crystal system: trigonal
- Final energy: -4.672 eV per atom
- Mass density: 3.48 g/cm3

The structure in CIF format:
```
data_CsUNiCl6
_chemical_formula_sum 'Cs1 U1 Ni1 Cl6'
_cell_length_a 6.6450
_cell_length_b 6.6450
_cell_length_c 8.0061
_cell_angle_alpha 90.00
_cell_angle_beta 90.00
_cell_angle_gamma 120.00
_symmetry_space_group_name_H-M 'P 3 1 2'
_symmetry_Int_Tables_number 149
loop_
_symmetry_equiv_pos_as_xyz
'x,y,z'
'-y,x-y,z'
'-x+y,-x,z'
'-y,-x,-z'
'-x+y,y,-z'
'x,x-y,-z'
loop_
_atom_site_label
_atom_site_fract_x
_atom_site_fract_y
_atom_site_fract_z
Cs1 0.0000 0.0000 0.0000
U1 0.3333 0.6667 0.5000
Ni1 0.6667 0.3333 0.5000
Cl1 0.3756 0.0205 0.6856
```

Entry 8:
A geometry-optimized CsVNiCl6 structure, computed with PBE-GGA.

## Properties
- E_form (uncorrected): -1.19 eV/atom
- Crystal system: trigonal
- Final energy: -4.169 eV per atom
- Mass density: 2.81 g/cm3

The structure in CIF format:
```
data_CsVNiCl6
_chemical_formula_sum 'Cs1 V1 Ni1 Cl6'
_cell_length_a 6.2775
_cell_length_b 6.2775
_cell_length_c 7.8843
_cell_angle_alpha 90.00
_cell_angle_beta 90.00
_cell_angle_gamma 120.00
_symmetry_space_group_name_H-M 'P 3 1 2'
_symmetry_Int_Tables_number 149
loop_
_symmetry_equiv_pos_as_xyz
'x,y,z'
'-y,x-y,z'
'-x+y,-x,z'
'-y,-x,-z'
'-x+y,y,-z'
'x,x-y,-z'
loop_
_atom_site_label
_atom_site_fract_x
_atom_site_fract_y
_atom_site_fract_z
Cs1 0.0000 0.0000 0.0000
V1 0.6667 0.3333 0.5000
Ni1 0.3333 0.6667 0.5000
Cl1 0.3724 0.0011 0.6722
```

Result set for magnetization: 1.0; 5.0; 1.0; 2.3; 4.0; 1.0; 1.0; 4.1 μB/f.u., one per record in the order listed.